The following is a PBE calculation of MnCdGe3 after structural relaxation, from Alexandria via LeMat-Bulk.

a = 4.6495 Å, b = 4.6495 Å, c = 4.6495 Å
α = 90.00°, β = 90.00°, γ = 90.00°
Last column: nearest neighbours and their distance in Å.
Fractional coordinates of all 5 atoms:
Ge  0.0000  0.5000  0.0000  2 Mn 2.32
Ge  0.0000  0.0000  0.5000  2 Mn 2.32
Ge  0.5000  0.0000  0.0000  2 Mn 2.32
Cd  0.5000  0.5000  0.5000  12 Ge 3.29
Mn  0.0000  0.0000  0.0000  6 Ge 2.32

Output
DFT formation energy   0.20 eV per atom
Theoretical density   6.4 Mg/m³
Energy   -4.5832 eV/atom
Symmetry   Pm-3m
Total magnetic moment   0.9 μB per formula unit



The following is a PBE calculation of Mn2CdGe after structural relaxation, from Alexandria via LeMat-Bulk.

a = 3.8494 Å, b = 3.8494 Å, c = 9.2557 Å
α = 78.00°, β = 78.00°, γ = 90.00°
Last column: nearest neighbours and their distance in Å.
Fractional coordinates of all 8 atoms:
Cd  0.7500  0.2500  0.5000  4 Ge 2.72, 4 Mn 2.79
Cd  0.0000  0.0000  0.0000  4 Ge 2.72, 4 Mn 2.79
Ge  0.2500  0.7500  0.5000  4 Mn 2.47, 4 Cd 2.72
Ge  0.5000  0.5000  0.0000  4 Mn 2.47, 4 Cd 2.72
Mn  0.5114  0.1250  0.2500  2 Mn 2.19
Mn  0.2386  0.6250  0.2500  2 Mn 2.19
Mn  0.3750  0.4886  0.7500  2 Mn 2.19
Mn  0.8750  0.7614  0.7500  2 Mn 2.19

Output
DFT formation energy   0.66 eV per atom
Theoretical density   7.5 Mg/m³
Energy   -5.3054 eV/atom
Symmetry   I-42d
Total magnetic moment   0.0 μB per formula unit



The following is a PBE calculation of MnCd3Ge after structural relaxation, from Alexandria via LeMat-Bulk.

a = 5.1000 Å, b = 5.1000 Å, c = 5.1000 Å
α = 90.00°, β = 90.00°, γ = 90.00°
Last column: nearest neighbours and their distance in Å.
Fractional coordinates of all 5 atoms:
Cd  0.0000  0.5000  0.0000  2 Mn 2.55
Cd  0.5000  0.0000  0.0000  2 Mn 2.55
Cd  0.0000  0.0000  0.5000  2 Mn 2.55
Mn  0.0000  0.0000  0.0000  6 Cd 2.55
Ge  0.5000  0.5000  0.5000  12 Cd 3.61

Output
DFT formation energy   0.73 eV per atom
Theoretical density   5.8 Mg/m³
Energy   -2.5715 eV/atom
Symmetry   Pm-3m
Total magnetic moment   3.2 μB per formula unit



The following is a PBE calculation of Mn2CdGe after structural relaxation, from Alexandria via LeMat-Bulk.

a = 4.5030 Å, b = 4.5030 Å, c = 4.5030 Å
α = 60.00°, β = 60.00°, γ = 60.00°
Last column: nearest neighbours and their distance in Å.
Fractional coordinates of all 4 atoms:
Mn  0.2500  0.2500  0.2500  4 Cd 2.76, 4 Ge 2.76
Mn  0.7500  0.7500  0.7500  4 Cd 2.76, 4 Ge 2.76
Ge  0.0000  0.0000  0.0000  8 Mn 2.76
Cd  0.5000  0.5000  0.5000  8 Mn 2.76

Output
DFT formation energy   0.26 eV per atom
Theoretical density   7.6 Mg/m³
Energy   -5.7084 eV/atom
Symmetry   Fm-3m
Total magnetic moment   7.0 μB per formula unit



The following is a PBE calculation of MnCd2NiGe after structural relaxation, from Alexandria via LeMat-Bulk.

a = 5.1263 Å, b = 4.3997 Å, c = 5.1263 Å
α = 90.00°, β = 90.00°, γ = 90.00°
Last column: nearest neighbours and their distance in Å.
Fractional coordinates of all 5 atoms:
Ni  0.0000  0.5000  0.0000  2 Ge 2.20
Cd  0.0000  0.0000  0.5000  2 Ge 2.56
Cd  0.5000  0.0000  0.0000  2 Ge 2.56
Mn  0.5000  0.5000  0.5000  8 Cd 3.38, 4 Ni 3.62
Ge  0.0000  0.0000  0.0000  2 Ni 2.20

Output
DFT formation energy   0.72 eV per atom
Theoretical density   5.9 Mg/m³
Energy   -3.5564 eV/atom
Symmetry   P4/mmm
Total magnetic moment   4.7 μB per formula unit